## a
4
Lattice="3.425 0.000 0.000 0.000 3.425 0.000 0.000 0.000 6.545" Properties=species:S:1:pos:R:3 comment="Pu2PF | the Alexandria database | PBE-GGA | relaxed" crystal_system=tetragonal magnetic_moment_mub_per_fu=11.937 pbc="T T T"
Pu 0.000 0.000 1.561
Pu 0.000 0.000 4.984
P 1.713 1.713 0.000
F 1.713 1.713 3.272

---

## b
12
Lattice="3.846 0.000 0.000 -1.923 3.330 0.000 0.000 0.000 20.026" Properties=species:S:1:pos:R:3 comment="Pu2PF | the Alexandria database | PBE-GGA | relaxed" crystal_system=trigonal magnetic_moment_mub_per_fu=11.827 pbc="T T T"
Pu 0.000 0.000 0.000
Pu 0.000 0.000 3.342
Pu 0.000 2.220 13.351
Pu 0.000 2.220 16.692
Pu 1.923 1.110 6.675
Pu 1.923 1.110 10.017
P 0.000 0.000 11.688
P 0.000 2.220 5.013
P 1.923 1.110 18.363
F 0.000 0.000 15.372
F 0.000 2.220 8.697
F 1.923 1.110 2.021

---

## c
12
Lattice="3.941 0.000 0.000 -1.970 3.413 0.000 0.000 0.000 17.999" Properties=species:S:1:pos:R:3 comment="Pu2PF | the Alexandria database | PBE-GGA | relaxed" crystal_system=trigonal magnetic_moment_mub_per_fu=11.436 pbc="T T T"
Pu 0.000 0.000 4.391
Pu 0.000 0.000 13.608
Pu 0.000 2.275 7.608
Pu 0.000 2.275 16.391
Pu 1.970 1.138 1.608
Pu 1.970 1.138 10.391
P 0.000 0.000 0.000
P 0.000 2.275 12.000
P 1.970 1.138 6.000
F 0.000 0.000 9.000
F 0.000 2.275 3.000
F 1.970 1.138 14.999

---

Which is most stable? The ranking, best first, is c, b, a.

---

## a
12
Lattice="2.725 -5.589 0.000 2.725 5.589 0.000 0.000 0.000 7.195" Properties=species:S:1:pos:R:3 comment="PuPF | the Alexandria database | PBE-GGA | relaxed" crystal_system=orthorhombic magnetic_moment_mub_per_fu=5.166 pbc="T T T"
Pu 2.725 3.760 6.921
Pu 2.725 1.829 3.324
Pu 2.725 -1.829 3.871
Pu 2.725 -3.760 0.273
P 2.725 4.781 4.288
P 2.725 0.808 0.690
P 2.725 -0.808 6.504
P 2.725 -4.781 2.907
F 1.362 2.275 5.396
F 1.362 -2.275 1.799
F 4.087 2.275 5.396
F 4.087 -2.275 1.799

---

## b
12
Lattice="9.390 0.000 0.000 0.000 3.852 0.000 -2.804 0.000 6.500" Properties=species:S:1:pos:R:3 comment="PuPF | the Alexandria database | PBE-GGA | relaxed" crystal_system=monoclinic magnetic_moment_mub_per_fu=5.016 pbc="T T T"
Pu 1.176 0.000 1.478
Pu 0.715 1.926 5.022
Pu 5.871 1.926 1.478
Pu 5.410 0.000 5.022
P -1.957 1.926 5.809
P 3.848 0.000 0.691
P 2.738 0.000 5.809
P 8.543 1.926 0.691
F 0.107 0.000 3.720
F 1.783 1.926 2.780
F 4.802 1.926 3.720
F 6.478 0.000 2.780

---

Which is most stable? The ranking, best first, is b, a.

---

## a
16
Lattice="4.138 0.000 0.000 0.000 4.138 0.000 0.000 0.000 27.724" Properties=species:S:1:pos:R:3 comment="RbP2F | the Alexandria database | PBE-GGA | relaxed" crystal_system=tetragonal magnetic_moment_mub_per_fu=0.000 pbc="T T T"
Rb 0.000 1.035 10.396
Rb 0.000 3.104 17.327
Rb 2.069 1.035 3.465
Rb 2.069 3.104 24.258
P 0.000 0.000 0.000
P 0.000 2.069 0.000
P 1.035 1.035 20.793
P 1.035 3.104 6.931
P 2.069 0.000 13.862
P 2.069 2.069 13.862
P 3.104 1.035 20.793
P 3.104 3.104 6.931
F 0.000 1.035 24.258
F 0.000 3.104 3.465
F 2.069 1.035 17.327
F 2.069 3.104 10.396

---

## b
16
Lattice="7.015 0.000 0.000 0.000 7.015 0.000 0.000 0.000 7.015" Properties=species:S:1:pos:R:3 comment="RbP2F | the Alexandria database | PBE-GGA | relaxed" crystal_system=cubic magnetic_moment_mub_per_fu=0.000 pbc="T T T"
Rb 0.000 0.000 0.000
Rb 0.000 3.508 3.508
Rb 3.508 0.000 3.508
Rb 3.508 3.508 0.000
P 1.754 1.754 1.754
P 1.754 1.754 5.261
P 1.754 5.261 1.754
P 1.754 5.261 5.261
P 5.261 1.754 1.754
P 5.261 1.754 5.261
P 5.261 5.261 1.754
P 5.261 5.261 5.261
F 0.000 0.000 3.508
F 0.000 3.508 0.000
F 3.508 0.000 0.000
F 3.508 3.508 3.508

---

Which is most stable? The ranking, best first, is a, b.

---

## a
5
Lattice="4.360 0.000 0.000 0.000 4.360 0.000 0.000 0.000 4.360" Properties=species:S:1:pos:R:3 comment="RbPF3 | the Alexandria database | PBE-GGA | relaxed" crystal_system=cubic magnetic_moment_mub_per_fu=0.000 pbc="T T T"
Rb 0.000 0.000 0.000
P 2.180 2.180 2.180
F 0.000 2.180 2.180
F 2.180 0.000 2.180
F 2.180 2.180 0.000

---

## b
5
Lattice="5.012 0.000 0.000 0.000 5.012 0.000 0.000 0.000 5.012" Properties=species:S:1:pos:R:3 comment="RbPF3 | the Alexandria database | PBE-GGA | relaxed" crystal_system=cubic magnetic_moment_mub_per_fu=1.000 pbc="T T T"
Rb 0.000 0.000 0.000
P 2.506 2.506 2.506
F 0.000 0.000 2.506
F 0.000 2.506 0.000
F 2.506 0.000 0.000

---

## c
10
Lattice="-2.912 2.912 5.403 2.912 -2.912 5.403 2.912 2.912 -5.403" Properties=species:S:1:pos:R:3 comment="RbPF3 | the Alexandria database | PBE-GGA | relaxed" crystal_system=tetragonal magnetic_moment_mub_per_fu=0.000 pbc="T T T"
Rb 2.912 0.000 2.702
Rb 0.000 2.912 2.702
P 0.000 0.000 0.000
P 0.000 0.000 5.403
F 0.000 0.000 1.891
F 1.417 1.417 0.000
F 1.495 -1.495 5.403
F -1.495 1.495 5.403
F 1.495 1.495 5.403
F 0.000 0.000 8.915

---

Which is most stable? The ranking, best first, is c, a, b.